Computed, not measured: crystalline KHfSe2Br at its relaxed geometry at the PBE level of DFT.

a b c (Å): 5.214 5.214 5.450
angles (deg): 90.00 90.00 90.00
Sites, in units of the cell vectors:
K  0.000  0.000  0.000
Hf  0.500  0.500  0.500
Se  0.000  0.500  0.500
Se  0.500  0.000  0.500
Br  0.500  0.500  0.000

## Properties
The value obtained for the distance to the lowest polymorph of the same formula is 0.0000 eV per atom. As for the total magnetic moment: 0.00 μB per atom. As for the symmetry: P4/mmm.

=====

Computed, not measured: crystalline SnPdC2 at its relaxed geometry at the PBE level of DFT.

a b c (Å): 4.886 4.886 10.100
angles (deg): 90.00 90.00 90.00
Sites, in units of the cell vectors:
Sn  0.000  0.000  0.000
Sn  0.000  0.500  0.250
Sn  0.500  0.000  0.750
Sn  0.500  0.500  0.500
Pd  0.000  0.000  0.500
Pd  0.000  0.500  0.750
Pd  0.500  0.000  0.250
Pd  0.500  0.500  0.000
C  0.223  0.250  0.625
C  0.250  0.723  0.875
C  0.250  0.777  0.375
C  0.277  0.250  0.125
C  0.723  0.750  0.125
C  0.750  0.223  0.375
C  0.750  0.277  0.875
C  0.777  0.750  0.625

## Properties
As for the total magnetic moment: 0.00 μB per atom. As for the symmetry: I-42d. As for the calculated formation energy: 1.27 eV/atom.

=====

Computed, not measured: crystalline TcSe2I at its relaxed geometry at the PBE level of DFT.

a b c (Å): 5.193 15.811 6.007
angles (deg): 90.00 112.72 90.00
Sites, in units of the cell vectors:
Tc  0.000  0.032  0.250
Tc  0.000  0.968  0.750
Tc  0.500  0.468  0.750
Tc  0.500  0.532  0.250
Se  0.230  0.088  0.662
Se  0.230  0.912  0.162
Se  0.270  0.412  0.338
Se  0.270  0.588  0.838
Se  0.730  0.412  0.162
Se  0.730  0.588  0.662
Se  0.770  0.088  0.838
Se  0.770  0.912  0.338
I  0.000  0.354  0.750
I  0.000  0.646  0.250
I  0.500  0.146  0.250
I  0.500  0.854  0.750

## Properties
The value obtained for the distance to the lowest polymorph of the same formula is 0.1464 eV per atom. As for the total magnetic moment: 0.00 μB per atom. As for the symmetry: C2/c.

=====

Computed, not measured: crystalline NdHo2PaS4 at its relaxed geometry at the PBE level of DFT.

a b c (Å): 6.783 3.886 6.878
angles (deg): 90.00 108.84 90.00
Sites, in units of the cell vectors:
Nd  0.000  0.000  0.000
Ho  0.000  0.500  0.500
Ho  0.500  0.000  0.500
Pa  0.500  0.500  0.000
S  0.252  0.000  0.741
S  0.260  0.500  0.262
S  0.740  0.500  0.738
S  0.748  0.000  0.259

## Properties
The value obtained for the calculated total energy is -54.91 eV per formula unit. As for the total magnetic moment: 0.00 μB per atom. As for the symmetry: P2/m.

=====

Computed, not measured: crystalline Pm2NdRu9 at its relaxed geometry at the PBE level of DFT.

a b c (Å): 9.346 9.346 9.346
angles (deg): 33.04 33.04 33.04
Sites, in units of the cell vectors:
Pm  0.140  0.140  0.140
Pm  0.860  0.860  0.860
Nd  0.000  0.000  0.000
Ru  0.074  0.586  0.586
Ru  0.337  0.337  0.337
Ru  0.414  0.414  0.926
Ru  0.414  0.926  0.414
Ru  0.500  0.500  0.500
Ru  0.586  0.074  0.586
Ru  0.586  0.586  0.074
Ru  0.663  0.663  0.663
Ru  0.926  0.414  0.414

## Properties
As for the total magnetic moment: 0.00 μB per atom. As for the symmetry: R-3m. As for the calculated formation energy: -0.04 eV/atom.

=====

Computed, not measured: crystalline TaTi3Be at its relaxed geometry at the PBE level of DFT.

a b c (Å): 4.383 4.383 4.383
angles (deg): 90.00 90.00 90.00
Sites, in units of the cell vectors:
Ta  0.000  0.000  0.000
Ti  0.000  0.500  0.500
Ti  0.500  0.000  0.500
Ti  0.500  0.500  0.000
Be  0.500  0.500  0.500

## Properties
The value obtained for the distance to the lowest polymorph of the same formula is 0.0000 eV per atom. As for the total magnetic moment: 0.43 μB per atom. As for the symmetry: Pm-3m. As for the calculated formation energy: 0.54 eV/atom.

=====

Computed, not measured: crystalline SrSbAsI2 at its relaxed geometry at the PBE level of DFT.

a b c (Å): 5.647 5.647 5.678
angles (deg): 90.00 90.00 90.00
Sites, in units of the cell vectors:
Sr  0.000  0.000  0.000
Sb  0.500  0.500  0.000
As  0.500  0.500  0.500
I  0.000  0.500  0.500
I  0.500  0.000  0.500

## Properties
The value obtained for the distance to the lowest polymorph of the same formula is 0.0000 eV per atom. As for the total magnetic moment: 0.00 μB per atom. As for the symmetry: P4/mmm.

=====

Computed, not measured: crystalline Pr2AlTlGe at its relaxed geometry at the PBE level of DFT.

a b c (Å): 7.455 4.347 9.260
angles (deg): 90.00 105.74 90.00
Sites, in units of the cell vectors:
Pr  0.201  0.250  0.407
Pr  0.252  0.250  0.978
Pr  0.748  0.750  0.022
Pr  0.799  0.750  0.593
Al  0.477  0.750  0.265
Al  0.523  0.250  0.735
Tl  0.281  0.750  0.697
Tl  0.719  0.250  0.303
Ge  0.143  0.750  0.171
Ge  0.857  0.250  0.829

## Properties
As for the total magnetic moment: 0.00 μB per atom. As for the symmetry: P2_1/m. As for the calculated formation energy: -0.43 eV/atom.

=====

Computed, not measured: crystalline BePPbS2 at its relaxed geometry at the PBE level of DFT.

a b c (Å): 5.253 5.253 5.237
angles (deg): 90.00 90.00 90.00
Sites, in units of the cell vectors:
Be  0.000  0.000  0.000
P  0.500  0.500  0.000
Pb  0.500  0.500  0.500
S  0.000  0.500  0.500
S  0.500  0.000  0.500

## Properties
The value obtained for the distance to the lowest polymorph of the same formula is 1.2452 eV per atom. As for the total magnetic moment: 0.27 μB per atom. As for the symmetry: P4/mmm.

=====

Computed, not measured: crystalline Ce3ErTh2As6 at its relaxed geometry at the PBE level of DFT.

a b c (Å): 7.294 7.294 7.312
angles (deg): 99.58 99.58 119.99
Sites, in units of the cell vectors:
Ce  0.000  0.000  0.000
Ce  0.332  0.668  0.000
Ce  0.668  0.332  0.000
Er  0.500  0.500  0.500
Th  0.166  0.834  0.500
Th  0.834  0.166  0.500
As  0.090  0.418  0.252
As  0.255  0.255  0.750
As  0.418  0.090  0.252
As  0.582  0.910  0.748
As  0.745  0.745  0.250
As  0.910  0.582  0.748

## Properties
As for the total magnetic moment: 0.20 μB per atom. As for the symmetry: C2/m. As for the calculated formation energy: -1.44 eV/atom.

=====

Computed, not measured: crystalline In2AgS at its relaxed geometry at the PBE level of DFT.

a b c (Å): 7.681 7.681 6.316
angles (deg): 90.00 90.00 90.00
Sites, in units of the cell vectors:
In  0.231  0.250  0.125
In  0.250  0.731  0.375
In  0.250  0.769  0.875
In  0.269  0.250  0.625
In  0.731  0.750  0.625
In  0.750  0.231  0.875
In  0.750  0.269  0.375
In  0.769  0.750  0.125
Ag  0.000  0.000  0.500
Ag  0.000  0.500  0.750
Ag  0.500  0.000  0.250
Ag  0.500  0.500  0.000
S  0.000  0.000  0.000
S  0.000  0.500  0.250
S  0.500  0.000  0.750
S  0.500  0.500  0.500

## Properties
The value obtained for the calculated total energy is -12.81 eV per formula unit. As for the total magnetic moment: 0.00 μB per atom. As for the symmetry: I-42d.

=====

Computed, not measured: crystalline Mn2P at its relaxed geometry at the PBE level of DFT.

a b c (Å): 2.620 2.620 5.544
angles (deg): 90.00 90.00 120.00
Sites, in units of the cell vectors:
Mn  0.333  0.667  0.327
Mn  0.667  0.333  0.673
P  0.000  0.000  0.000

## Properties
As for the total magnetic moment: 0.33 μB per atom. As for the symmetry: P-3m1. As for the calculated formation energy: -0.07 eV/atom.

=====

Question: What is the formula in the tenth record?
Answer: Ce3ErTh2As6

=====

Question: Which formula does entry 11 have?
Answer: In2AgS